# 1
Ta2CoRe | PBE-GGA | relaxed

```
Ta2CoRe
1.0
0.000 3.143 3.143
3.143 0.000 3.143
3.143 3.143 0.000
Ta Co Re
2 1 1
Cartesian
0.000 0.000 0.000
1.572 1.572 1.572
3.143 3.143 3.143
4.715 4.715 4.715
```

Summary:
Final energy = -43.11 eV for the cell shown
Symmetry = No. 216
Calculated volume = 62.1 Å³ per cell
Density = 16.2 Mg/m³
Total moment = 1.79 μB per formula unit

=====

# 2
Ta2CoRe | PBE-GGA | relaxed

```
Ta2CoRe
1.0
-3.470 3.470 2.730
3.470 -3.470 2.730
3.470 3.470 -2.730
Ta Co Re
4 2 2
Cartesian
5.206 1.592 -0.683
1.592 1.735 0.683
-1.735 1.879 2.048
1.879 1.735 3.413
0.000 0.000 0.000
0.000 3.470 1.365
3.470 0.000 1.365
0.000 0.000 2.730
```

Summary:
Final energy = -82.50 eV for the cell shown
Symmetry = No. 122
Calculated volume = 131.5 Å³ per cell
Density = 15.3 Mg/m³
Total moment = 0.00 μB per formula unit

=====

# 3
Ta2Co2Re | PBE-GGA | relaxed

```
Ta2Co2Re
1.0
6.608 0.000 0.000
0.000 6.608 0.000
0.000 0.000 3.299
Ta Co Re
4 4 2
Cartesian
1.169 2.135 0.000
2.135 5.439 0.000
4.473 1.169 0.000
5.439 4.473 0.000
0.814 4.118 1.649
2.490 0.814 1.649
4.118 5.794 1.649
5.794 2.490 1.649
0.000 0.000 1.649
3.304 3.304 1.649
```

Summary:
Final energy = -101.80 eV for the cell shown
Symmetry = No. 127
Calculated volume = 144.1 Å³ per cell
Density = 15.4 Mg/m³
Total moment = 0.00 μB per formula unit

=====

# 4
TaCo2Re | PBE-GGA | relaxed

```
TaCo2Re
1.0
2.716 0.000 0.000
0.000 2.716 0.000
0.000 0.000 7.365
Ta Co Re
1 2 1
Cartesian
0.000 0.000 0.000
0.000 0.000 3.423
1.358 1.358 1.871
1.358 1.358 5.092
```

Summary:
Offset from the most stable computed form = 4.01 kcal/mol of atoms
Symmetry = No. 99
Calculated volume = 54.3 Å³ per cell
Density = 14.8 Mg/m³
Total moment = 1.40 μB per formula unit

=====

# 5
Ta2CoRe | PBE-GGA | relaxed

```
Ta2CoRe
1.0
-1.605 2.193 4.460
1.605 -2.193 4.460
1.605 2.193 -4.460
Ta Co Re
2 1 1
Cartesian
0.000 0.000 0.000
0.000 2.193 2.149
0.000 0.000 4.412
1.605 0.000 2.153
```

Summary:
Final energy = -43.55 eV for the cell shown
Symmetry = No. 44
Calculated volume = 62.8 Å³ per cell
Density = 16.1 Mg/m³
Total moment = 1.18 μB per formula unit

=====

# 6
Ta2CoRe | PBE-GGA | relaxed

```
Ta2CoRe
1.0
-1.363 2.414 4.975
1.363 -2.414 4.975
1.363 2.414 -4.975
Ta Co Re
2 1 1
Cartesian
0.000 0.000 2.302
0.000 0.000 7.647
0.000 0.000 0.000
0.000 0.000 4.975
```

Summary:
Final energy = -40.45 eV for the cell shown
Symmetry = No. 71
Calculated volume = 65.5 Å³ per cell
Density = 15.4 Mg/m³
Total moment = 0.00 μB per formula unit

=====

# 7
Ta2CoRe | PBE-GGA | relaxed

```
Ta2CoRe
1.0
1.762 -2.109 0.000
1.762 2.109 0.000
0.000 0.000 8.325
Ta Co Re
2 1 1
Cartesian
0.000 0.000 0.000
1.762 0.000 2.380
0.000 0.000 4.367
1.762 0.000 6.051
```

Summary:
Final energy = -43.26 eV for the cell shown
Symmetry = No. 35
Calculated volume = 61.8 Å³ per cell
Density = 16.3 Mg/m³
Total moment = 0.00 μB per formula unit

=====

# 8
TaCo4Re | PBE-GGA | relaxed

```
TaCo4Re
1.0
0.000 3.328 3.328
3.328 0.000 3.328
3.328 3.328 0.000
Ta Co Re
1 4 1
Cartesian
0.000 0.000 0.000
4.155 2.500 2.500
2.500 4.155 2.500
2.500 2.500 4.155
4.155 4.155 4.155
1.664 1.664 1.664
```

Summary:
Final energy = -53.28 eV for the cell shown
Symmetry = No. 216
Calculated volume = 73.7 Å³ per cell
Density = 13.6 Mg/m³
Total moment = 3.89 μB per formula unit

=====

# 9
Ta2CoRe | PBE-GGA | relaxed

```
Ta2CoRe
1.0
4.445 0.000 0.000
0.000 4.445 0.000
0.000 0.000 3.171
Ta Co Re
2 1 1
Cartesian
0.000 2.222 0.000
2.222 0.000 0.000
0.000 0.000 1.586
2.222 2.222 1.586
```

Summary:
Final energy = -44.22 eV for the cell shown
Symmetry = No. 123
Calculated volume = 62.7 Å³ per cell
Density = 16.1 Mg/m³
Total moment = 1.56 μB per formula unit

=====

# 10
Ta3CoRe | PBE-GGA | relaxed

```
Ta3CoRe
1.0
4.820 0.000 0.000
0.000 4.820 0.000
0.000 0.000 4.820
Ta Co Re
3 1 1
Cartesian
0.000 0.000 2.410
0.000 2.410 0.000
2.410 0.000 0.000
2.410 2.410 2.410
0.000 0.000 0.000
```

Summary:
Offset from the most stable computed form = 16.08 kcal/mol of atoms
Symmetry = No. 221
Calculated volume = 112.0 Å³ per cell
Density = 11.7 Mg/m³
Total moment = 1.82 μB per formula unit

=====

# 11
TaCo2Re | PBE-GGA | relaxed

```
TaCo2Re
1.0
0.000 3.021 3.021
3.021 0.000 3.021
3.021 3.021 0.000
Ta Co Re
1 2 1
Cartesian
0.000 0.000 0.000
3.021 3.021 3.021
4.532 4.532 4.532
1.511 1.511 1.511
```

Summary:
Offset from the most stable computed form = 5.67 kcal/mol of atoms
Symmetry = No. 216
Calculated volume = 55.2 Å³ per cell
Density = 14.6 Mg/m³
Total moment = 1.61 μB per formula unit

=====

# 12
TaCo2Re | PBE-GGA | relaxed

```
TaCo2Re
1.0
-1.898 1.898 3.705
1.898 -1.898 3.705
1.898 1.898 -3.705
Ta Co Re
1 2 1
Cartesian
0.000 0.000 0.000
1.898 0.000 1.853
0.000 1.898 1.853
0.000 0.000 3.705
```

Summary:
Offset from the most stable computed form = 0.40 kcal/mol of atoms
Symmetry = No. 139
Calculated volume = 53.4 Å³ per cell
Density = 15.1 Mg/m³
Total moment = 0.00 μB per formula unit

=====

# 13
TaCo2Re | PBE-GGA | relaxed

```
TaCo2Re
1.0
-1.873 1.873 3.851
1.873 -1.873 3.851
1.873 1.873 -3.851
Ta Co Re
1 2 1
Cartesian
0.000 0.000 0.000
1.873 0.000 1.925
0.000 0.000 3.851
0.000 1.873 1.925
```

Summary:
Offset from the most stable computed form = 3.59 kcal/mol of atoms
Symmetry = No. 119
Calculated volume = 54.0 Å³ per cell
Density = 14.9 Mg/m³
Total moment = 0.03 μB per formula unit

=====

# 14
TaCo2Re | PBE-GGA | relaxed

```
TaCo2Re
1.0
0.000 3.017 3.017
3.017 0.000 3.017
3.017 3.017 0.000
Ta Co Re
1 2 1
Cartesian
0.000 0.000 0.000
1.509 1.509 1.509
4.526 4.526 4.526
3.017 3.017 3.017
```

Summary:
Offset from the most stable computed form = 5.31 kcal/mol of atoms
Symmetry = No. 225
Calculated volume = 54.9 Å³ per cell
Density = 14.7 Mg/m³
Total moment = 3.48 μB per formula unit

=====

# 15
TaCo2Re | PBE-GGA | relaxed

```
TaCo2Re
1.0
1.358 0.784 8.612
-1.358 0.784 8.612
0.000 -1.568 8.612
Ta Co Re
1 2 1
Cartesian
0.000 0.000 0.000
0.000 0.000 6.372
0.000 0.000 19.464
0.000 0.000 12.918
```

Summary:
Offset from the most stable computed form = 7.69 kcal/mol of atoms
Symmetry = No. 166
Calculated volume = 55.0 Å³ per cell
Density = 14.6 Mg/m³
Total moment = 0.00 μB per formula unit

=====

# 16
TaTiCoRe | PBE-GGA | relaxed

```
TaTiCoRe
1.0
3.137 0.000 0.000
0.000 3.137 0.000
0.000 0.000 6.048
Ta Ti Co Re
1 1 1 1
Cartesian
0.000 0.000 0.000
0.000 0.000 3.093
1.568 1.568 4.565
1.568 1.568 1.579
```

Summary:
Offset from the most stable computed form = 0.08 kcal/mol of atoms
Symmetry = No. 99
Calculated volume = 59.5 Å³ per cell
Density = 13.2 Mg/m³
Total moment = 0.30 μB per formula unit

=====

# 17
TaTiCoRe | PBE-GGA | relaxed

```
TaTiCoRe
1.0
0.000 3.106 3.106
3.106 0.000 3.106
3.106 3.106 0.000
Ta Ti Co Re
1 1 1 1
Cartesian
0.000 0.000 0.000
3.106 3.106 3.106
1.553 1.553 1.553
4.658 4.658 4.658
```

Summary:
Offset from the most stable computed form = 0.00 kcal/mol of atoms
Symmetry = No. 216
Calculated volume = 59.9 Å³ per cell
Density = 13.1 Mg/m³
Total moment = 0.83 μB per formula unit

=====

# 18
TaTlCoRe2 | PBE-GGA | relaxed

```
TaTlCoRe2
1.0
4.768 0.000 0.000
0.000 4.768 0.000
0.000 0.000 5.288
Ta Tl Co Re
1 1 1 2
Cartesian
0.000 0.000 0.000
0.000 0.000 2.644
2.384 2.384 2.644
0.000 2.384 0.000
2.384 0.000 0.000
```

Summary:
Final energy = -33.74 eV for the cell shown
Symmetry = No. 123
Calculated volume = 120.2 Å³ per cell
Density = 11.3 Mg/m³
Total moment = 1.97 μB per formula unit

=====

# 19
TaVCoRe | PBE-GGA | relaxed

```
TaVCoRe
1.0
0.000 3.072 3.072
3.072 0.000 3.072
3.072 3.072 0.000
Ta V Co Re
1 1 1 1
Cartesian
0.000 0.000 0.000
3.072 3.072 3.072
4.609 4.609 4.609
1.536 1.536 1.536
```

Summary:
Final energy = -41.27 eV for the cell shown
Symmetry = No. 216
Calculated volume = 58.0 Å³ per cell
Density = 13.7 Mg/m³
Total moment = 1.71 μB per formula unit

=====

# 20
TaCo2ReW | PBE-GGA | relaxed

```
TaCo2ReW
1.0
4.349 0.000 0.000
0.000 4.349 0.000
0.000 0.000 4.778
Ta Co Re W
1 2 1 1
Cartesian
0.000 0.000 0.000
0.000 2.175 2.389
2.175 0.000 2.389
2.175 2.175 2.389
2.175 2.175 0.000
```

Summary:
Final energy = -43.42 eV for the cell shown
Symmetry = No. 123
Calculated volume = 90.4 Å³ per cell
Density = 12.3 Mg/m³
Total moment = 1.18 μB per formula unit

=====

# 21
Tb2CoRe | PBE-GGA | relaxed

```
Tb2CoRe
1.0
1.553 0.897 9.666
-1.553 0.897 9.666
0.000 -1.793 9.666
Tb Co Re
2 1 1
Cartesian
0.000 0.000 2.786
0.000 0.000 26.211
0.000 0.000 14.499
0.000 0.000 0.000
```

Summary:
Final energy = -25.46 eV for the cell shown
Symmetry = No. 166
Calculated volume = 80.7 Å³ per cell
Density = 11.6 Mg/m³
Total moment = 0.00 μB per formula unit

=====

# 22
TbCo2Re | PBE-GGA | relaxed

```
TbCo2Re
1.0
2.040 1.178 4.831
-2.040 1.178 4.831
0.000 -2.356 4.831
Tb Co Re
1 2 1
Cartesian
0.000 0.000 0.000
0.000 0.000 2.886
0.000 0.000 11.606
0.000 0.000 7.246
```

Summary:
Final energy = -31.41 eV for the cell shown
Symmetry = No. 166
Calculated volume = 69.6 Å³ per cell
Density = 11.0 Mg/m³
Total moment = 0.00 μB per formula unit

=====

# 23
CoRe3Tc2 | PBE-GGA | relaxed

```
CoRe3Tc2
1.0
4.370 0.000 0.000
0.000 8.242 0.000
0.000 0.000 4.717
Co Re Tc
2 6 4
Cartesian
1.092 2.060 0.369
3.277 6.181 4.349
1.092 0.728 2.757
1.092 3.393 2.757
1.092 6.181 2.801
3.277 2.060 1.916
3.277 4.849 1.960
3.277 7.514 1.960
1.092 4.796 0.365
1.092 7.567 0.365
3.277 0.675 4.353
3.277 3.446 4.353
```

Summary:
Final energy = -130.42 eV for the cell shown
Symmetry = No. 59
Calculated volume = 169.9 Å³ per cell
Density = 15.9 Mg/m³
Total moment = 0.00 μB per formula unit

=====

# 24
Co2ReTc2 | PBE-GGA | relaxed

```
Co2ReTc2
1.0
6.918 0.000 0.000
0.000 6.918 0.000
0.000 0.000 2.722
Co Re Tc
4 2 4
Cartesian
0.831 2.628 0.000
2.628 6.087 0.000
4.290 0.831 0.000
6.087 4.290 0.000
0.000 0.000 0.000
3.459 3.459 0.000
1.218 4.677 1.361
2.241 1.218 1.361
4.677 5.699 1.361
5.699 2.241 1.361
```

Summary:
Final energy = -93.40 eV for the cell shown
Symmetry = No. 127
Calculated volume = 130.3 Å³ per cell
Density = 12.8 Mg/m³
Total moment = 0.00 μB per formula unit

=====

# 25
Co4ReTc | PBE-GGA | relaxed

```
Co4ReTc
1.0
0.000 3.272 3.272
3.272 0.000 3.272
3.272 3.272 0.000
Co Re Tc
4 1 1
Cartesian
0.817 0.817 0.817
2.455 2.455 0.817
2.455 0.817 2.455
0.817 2.455 2.455
3.272 3.272 3.272
4.908 4.908 4.908
```

Summary:
Final energy = -50.79 eV for the cell shown
Symmetry = No. 216
Calculated volume = 70.1 Å³ per cell
Density = 12.3 Mg/m³
Total moment = 2.24 μB per formula unit

=====

# 26
CoRe2Tc3 | PBE-GGA | relaxed

```
CoRe2Tc3
1.0
1.915 -5.753 0.000
1.915 5.753 0.000
0.000 0.000 3.825
Co Re Tc
1 2 3
Cartesian
0.000 0.000 0.000
1.915 3.883 1.912
1.915 -3.883 1.912
1.915 1.855 0.000
1.915 0.000 1.912
1.915 -1.855 0.000
```

Summary:
Final energy = -62.76 eV for the cell shown
Symmetry = No. 65
Calculated volume = 84.3 Å³ per cell
Density = 14.3 Mg/m³
Total moment = 0.00 μB per formula unit

=====

# 27
CoReTc3 | PBE-GGA | relaxed

```
CoReTc3
1.0
4.321 0.000 0.000
0.000 4.321 0.000
0.000 0.000 4.321
Co Re Tc
1 1 3
Cartesian
0.000 0.000 0.000
2.161 2.161 2.161
0.000 0.000 2.161
0.000 2.161 0.000
2.161 0.000 0.000
```

Summary:
Offset from the most stable computed form = 0.00 kcal/mol of atoms
Symmetry = No. 221
Calculated volume = 80.7 Å³ per cell
Density = 11.1 Mg/m³
Total moment = 0.33 μB per formula unit